[1]
First-principles (PBE-GGA) data for an optimized crystal structure of TaMnV2H, as listed in Alexandria.

Cell lengths 4.2390, 4.2390, 3.2511 Å; angles 90.00, 90.00, 90.00 degrees
Site moments in Bohr magnetons follow the coordinates.
Positions (direct):
V 0.0000 0.5000 0.0000  -0.27
V 0.5000 0.0000 0.0000  -0.27
Ta 0.5000 0.5000 0.5000  0.02
H 0.0000 0.0000 0.0000  0.00
Mn 0.0000 0.0000 0.5000  1.11

=====

[2]
First-principles (PBE-GGA) data for an optimized crystal structure of TaMn2VH, as listed in Alexandria.

Cell lengths 4.0728, 4.0728, 3.3737 Å; angles 90.00, 90.00, 90.00 degrees
Site moments in Bohr magnetons follow the coordinates.
Positions (direct):
H 0.0000 0.0000 0.0000  -0.01
Mn 0.5000 0.0000 0.0000  1.01
Mn 0.0000 0.5000 0.0000  1.01
V 0.0000 0.0000 0.5000  -0.37
Ta 0.5000 0.5000 0.5000  -0.23

=====

[3]
First-principles (PBE-GGA) data for an optimized crystal structure of TaMn2HW, as listed in Alexandria.

Cell lengths 3.8101, 3.8101, 4.1549 Å; angles 90.00, 90.00, 90.00 degrees
Site moments in Bohr magnetons follow the coordinates.
Positions (direct):
Ta 0.5000 0.5000 0.5000  -0.13
W 0.0000 0.0000 0.5000  -0.12
H 0.0000 0.0000 0.0000  -0.01
Mn 0.0000 0.5000 0.0000  1.98
Mn 0.5000 0.0000 0.0000  1.98

=====

[4]
First-principles (PBE-GGA) data for an optimized crystal structure of TaMn2HW, as listed in Alexandria.

Cell lengths 3.7916, 3.7916, 4.1974 Å; angles 90.00, 90.00, 90.00 degrees
Site moments in Bohr magnetons follow the coordinates.
Positions (direct):
H 0.0000 0.0000 0.0000  -0.01
Ta 0.0000 0.0000 0.5000  -0.11
Mn 0.0000 0.5000 0.0000  2.00
Mn 0.5000 0.0000 0.0000  2.00
W 0.5000 0.5000 0.5000  -0.20

=====

[5]
First-principles (PBE-GGA) data for an optimized crystal structure of TaMn2ZnH, as listed in Alexandria.

Cell lengths 3.8570, 3.8570, 3.8458 Å; angles 90.00, 90.00, 90.00 degrees
Site moments in Bohr magnetons follow the coordinates.
Positions (direct):
Zn 0.5000 0.5000 0.5000  -0.05
Mn 0.5000 0.0000 0.0000  1.79
Mn 0.0000 0.5000 0.0000  1.79
H 0.0000 0.0000 0.0000  -0.01
Ta 0.0000 0.0000 0.5000  -0.44

=====

[6]
First-principles (PBE-GGA) data for an optimized crystal structure of Zr2TaMnH, as listed in Alexandria.

Cell lengths 4.6606, 4.6606, 3.5681 Å; angles 90.00, 90.00, 90.00 degrees
Site moments in Bohr magnetons follow the coordinates.
Positions (direct):
Ta 0.5000 0.5000 0.5000  0.05
Zr 0.0000 0.5000 0.0000  -0.11
Zr 0.5000 0.0000 0.0000  -0.11
H 0.0000 0.0000 0.0000  -0.01
Mn 0.0000 0.0000 0.5000  2.35

=====

[7]
First-principles (PBE-GGA) data for an optimized crystal structure of TbMnH3, as listed in Alexandria.

Cell lengths 3.5655, 3.5655, 3.5655 Å; angles 90.00, 90.00, 90.00 degrees
Site moments in Bohr magnetons follow the coordinates.
Positions (direct):
H 0.5000 0.0000 0.0000  -0.01
H 0.0000 0.5000 0.0000  -0.01
H 0.0000 0.0000 0.5000  -0.01
Tb 0.5000 0.5000 0.5000  -0.24
Mn 0.0000 0.0000 0.0000  2.02

=====

[8]
First-principles (PBE-GGA) data for an optimized crystal structure of TbMn2H7, as listed in Alexandria.

Cell lengths 3.5323, 5.2035, 4.8487 Å; angles 122.45, 90.00, 90.00 degrees
Site moments in Bohr magnetons follow the coordinates.
Positions (direct):
Mn 0.5000 0.3011 0.6023  1.92
Mn 0.5000 0.6989 0.3977  1.92
H 0.0000 0.7030 0.4059  -0.01
H 0.0000 0.2970 0.5941  -0.01
H 0.5000 0.5000 0.0000  -0.02
H 0.5000 0.3230 0.2702  -0.02
H 0.5000 0.6770 0.7298  -0.02
H 0.5000 0.0528 0.7298  -0.02
H 0.5000 0.9472 0.2702  -0.02
Tb 0.0000 0.0000 0.0000  -0.17

=====

no.,E_tot (eV/atom)
1,-8.54
2,-8.51
3,-9.18
4,-9.19
5,-6.93
6,-8.29
7,-5.13
8,-4.79